Material: ScTa2Ru
Method: DFT, PBEsol
State: relaxed

Unit cell a=3.1785 b=4.5014 c=9.4770 alpha=90.00 beta=90.00 gamma=90.00
Space group Immm (No. 71)
Inequivalent atoms, fractional coordinates:
Sc1 0.0000 0.0000 0.0000
Ta1 0.0000 0.5000 0.2335
Ru1 0.0000 0.0000 0.5000

=====

Material: ScTaRu2
Method: DFT, PBEsol
State: relaxed

Results
Distance to the lowest polymorph of the same formula: 290 meV/atom

Unit cell a=3.1552 b=4.3141 c=9.2391 alpha=90.00 beta=90.00 gamma=90.00
Space group Imm2 (No. 44)
Inequivalent atoms, fractional coordinates:
Sc1 0.0000 0.0000 0.0000
Ta1 0.0000 0.5000 0.7637
Ru1 0.0000 0.0000 0.4976
Ru2 0.0000 0.5000 0.2536

=====

Number 1: DFT total energy -10.71 eV per atom. Number 2: DFT total energy -10.17 eV per atom.